Record 1
Ce2Dy3ScTe6 | GGA-PBE | optimized geometry

Output
**Calculated total energy**: -5.51 eV/atom
**Calculated density**: 7.39 g/cm³
**Calculated volume**: 354 Å³/f.u.
**Uncorrected formation energy**: -1276 meV per atom
**Magnetization**: 2.60 μB/f.u.

Lattice parameters (Å, degrees): 19.089 4.340 8.814 90.00 103.90 90.00
Space group C2/m (No. 12)
One atom of each set of equivalent atoms:
Ce: 0.167 0.000 0.336
Dy: 0.000 0.500 0.500
Dy: 0.172 0.000 0.836
Sc: 0.000 0.500 0.000
Te: 0.004 0.000 0.761
Te: 0.161 0.500 0.074
Te: 0.164 0.500 0.590


Record 2
Ce3Dy2ScTe6 | GGA-PBE | optimized geometry

Output
**Calculated total energy**: -5.65 eV/atom
**Calculated density**: 7.18 g/cm³
**Calculated volume**: 360 Å³/f.u.
**Uncorrected formation energy**: -1299 meV per atom
**Magnetization**: 3.80 μB/f.u.

Lattice parameters (Å, degrees): 19.247 4.349 8.879 90.00 104.55 90.00
Space group C2/m (No. 12)
One atom of each set of equivalent atoms:
Ce: 0.000 0.000 0.000
Ce: 0.170 0.500 0.336
Dy: 0.166 0.500 0.833
Sc: 0.000 0.000 0.500
Te: 0.001 0.500 0.733
Te: 0.159 0.000 0.587
Te: 0.169 0.000 0.077


Record 3
Ce2DyScTe4 | GGA-PBE | optimized geometry

Output
**Calculated total energy**: -5.70 eV/atom
**Calculated density**: 6.98 g/cm³
**Calculated volume**: 237 Å³/f.u.
**Uncorrected formation energy**: -1280 meV per atom
**Magnetization**: 2.48 μB/f.u.

Lattice parameters (Å, degrees): 7.526 4.326 7.701 90.00 108.81 90.00
Space group P2/m (No. 10)
One atom of each set of equivalent atoms:
Ce: 0.000 0.000 0.000
Ce: 0.500 0.500 0.000
Dy: 0.000 0.500 0.500
Sc: 0.500 0.000 0.500
Te: 0.252 0.000 0.734
Te: 0.264 0.500 0.271


Record 4
CeDyThSc | GGA-PBE | optimized geometry

Output
**Calculated total energy**: -6.03 eV/atom
**Calculated density**: 8.27 g/cm³
**E_form**: 4 kJ/mol of atoms
**Calculated volume**: 116 Å³/f.u.
**Magnetization**: 0.00 μB/f.u.

Lattice parameters (Å, degrees): 3.4830 3.4830 33.2314 90.00 90.00 120.00
Space group R3m (No. 160, hexagonal axes)
One atom of each set of equivalent atoms:
Ce: 0.0000 0.0000 0.0000
Dy: 0.0000 0.0000 0.4202
Th: 0.0000 0.0000 0.5832
Sc: 0.0000 0.0000 0.1689


Record 5
CeDyThSc | GGA-PBE | optimized geometry

Output
**Calculated total energy**: -5.88 eV/atom
**Calculated density**: 8.12 g/cm³
**E_form**: 19 kJ/mol of atoms
**Calculated volume**: 119 Å³/f.u.
**Magnetization**: 1.39 μB/f.u.

Lattice parameters (Å, degrees): 7.798 7.798 7.798 90.00 90.00 90.00
Space group F-43m (No. 216)
One atom of each set of equivalent atoms:
Ce: 0.000 0.000 0.000
Dy: 0.250 0.250 0.250
Th: 0.250 0.250 0.750
Sc: 0.000 0.000 0.500


Record 6
CeDySc2Tl4 | GGA-PBE | optimized geometry

Output
**Calculated total energy**: -4.34 eV/atom
**Calculated density**: 9.62 g/cm³
**E_form**: -25 kJ/mol of atoms
**Calculated volume**: 209 Å³/f.u.
**Magnetization**: 1.14 μB/f.u.

Lattice parameters (Å, degrees): 5.2728 5.2728 26.0208 90.00 90.00 120.00
Space group R-3m (No. 166, hexagonal axes)
One atom of each set of equivalent atoms:
Ce: 0.0000 0.0000 0.0000
Dy: 0.0000 0.0000 0.5000
Sc: 0.0000 0.0000 0.2497
Tl: 0.0000 0.0000 0.1265
Tl: 0.0000 0.0000 0.3769


Record 7
Ce2DyScTl4 | GGA-PBE | optimized geometry

Output
**Calculated total energy**: -4.29 eV/atom
**Calculated density**: 9.80 g/cm³
**E_form**: -25 kJ/mol of atoms
**Calculated volume**: 221 Å³/f.u.
**Magnetization**: 2.38 μB/f.u.

Lattice parameters (Å, degrees): 5.3771 5.3771 26.4900 90.00 90.00 120.00
Space group R-3m (No. 166, hexagonal axes)
One atom of each set of equivalent atoms:
Ce: 0.0000 0.0000 0.2479
Dy: 0.0000 0.0000 0.0000
Sc: 0.0000 0.0000 0.5000
Tl: 0.0000 0.0000 0.1258
Tl: 0.0000 0.0000 0.3760


Record 8
CeDy3Tm6Sc2 | GGA-PBE | optimized geometry

Output
**Calculated total energy**: -4.88 eV/atom
**Calculated density**: 8.14 g/cm³
**E_form**: 5 kJ/mol of atoms
**Calculated volume**: 353 Å³/f.u.
**Magnetization**: 0.92 μB/f.u.

Lattice parameters (Å, degrees): 6.000 10.388 11.509 90.00 99.99 90.00
Space group C2/m (No. 12)
One atom of each set of equivalent atoms:
Ce: 0.000 0.000 0.000
Dy: 0.000 0.168 0.500
Dy: 0.000 0.500 0.500
Tm: 0.249 0.166 0.245
Tm: 0.249 0.500 0.246
Sc: 0.000 0.333 0.000


Record 9
Ce2Dy6Tm3Sc | GGA-PBE | optimized geometry

Output
**Calculated total energy**: -4.88 eV/atom
**Calculated density**: 8.27 g/cm³
**E_form**: 5 kJ/mol of atoms
**Calculated volume**: 363 Å³/f.u.
**Magnetization**: 1.88 μB/f.u.

Lattice parameters (Å, degrees): 6.056 10.490 11.601 90.00 100.03 90.00
Space group C2/m (No. 12)
One atom of each set of equivalent atoms:
Ce: 0.000 0.166 0.000
Dy: 0.249 0.334 0.248
Dy: 0.249 0.500 0.752
Tm: 0.000 0.000 0.500
Tm: 0.000 0.334 0.500
Sc: 0.000 0.500 0.000


Record 10
Ce2Dy3Tm6Sc | GGA-PBE | optimized geometry

Output
**Calculated total energy**: -4.85 eV/atom
**Calculated density**: 8.49 g/cm³
**E_form**: 5 kJ/mol of atoms
**Calculated volume**: 357 Å³/f.u.
**Magnetization**: 1.62 μB/f.u.

Lattice parameters (Å, degrees): 6.029 10.441 11.531 90.00 100.03 90.00
Space group C2/m (No. 12)
One atom of each set of equivalent atoms:
Ce: 0.000 0.166 0.000
Dy: 0.000 0.000 0.500
Dy: 0.000 0.334 0.500
Tm: 0.249 0.334 0.247
Tm: 0.250 0.000 0.247
Sc: 0.000 0.500 0.000


Record 11
CeDy2TmSc | GGA-PBE | optimized geometry

Output
**Calculated total energy**: -4.92 eV/atom
**Calculated density**: 7.58 g/cm³
**E_form**: 26 kJ/mol of atoms
**Calculated volume**: 149 Å³/f.u.
**Magnetization**: 0.00 μB/f.u.

Lattice parameters (Å, degrees): 5.712 7.581 6.867 90.00 90.00 90.00
Space group Pmma (No. 51)
One atom of each set of equivalent atoms:
Ce: 0.000 0.000 0.000
Dy: 0.250 0.290 0.324
Tm: 0.250 0.500 0.842
Sc: 0.250 0.000 0.608


Record 12
CeDyTm2Sc4 | GGA-PBE | optimized geometry

Output
**Calculated total energy**: -5.54 eV/atom
**Calculated density**: 6.24 g/cm³
**E_form**: 6 kJ/mol of atoms
**Calculated volume**: 218 Å³/f.u.
**Magnetization**: 0.41 μB/f.u.

Lattice parameters (Å, degrees): 4.882 4.882 9.161 90.00 90.00 90.00
Space group P4/mmm (No. 123)
One atom of each set of equivalent atoms:
Ce: 0.000 0.000 0.000
Dy: 0.500 0.500 0.500
Tm: 0.000 0.000 0.500
Tm: 0.500 0.500 0.000
Sc: 0.000 0.500 0.247


> Which formula does entry 8 have?

CeDy3Tm6Sc2


> Number 12 is which compound?

CeDyTm2Sc4